No. 1
A plane-wave DFT calculation with meta-GGA SCAN was carried out for a crystal of YCoB4 relaxed with PBEsol.

Output
Formation energy (eV per formula unit): -3.69

Geometry as POSCAR:
```
YCoB4
1.0
-1.751 0.041 2.830
-4.756 -1.798 -2.917
2.893 -10.806 1.946
Y B Co
4 16 4
Direct
0.500 0.372 0.150
0.500 0.628 0.850
0.500 0.128 0.650
0.500 0.872 0.350
0.000 0.111 0.046
0.000 0.889 0.954
0.000 0.389 0.546
0.000 0.611 0.454
0.000 0.139 0.467
0.000 0.861 0.533
0.000 0.361 0.967
0.000 0.639 0.033
0.000 0.023 0.191
0.000 0.977 0.809
0.000 0.477 0.691
0.000 0.523 0.309
0.000 0.218 0.316
0.000 0.782 0.684
0.000 0.282 0.816
0.000 0.718 0.184
0.500 0.366 0.411
0.500 0.634 0.589
0.500 0.134 0.911
0.500 0.866 0.089
```

=====

No. 2
A plane-wave DFT calculation with meta-GGA SCAN was carried out for a crystal of YCo2B2 relaxed with PBEsol.

Output
Formation energy (eV per formula unit): -2.75

Geometry as POSCAR:
```
YCo2B2
1.0
-0.693 2.712 -2.114
-2.593 -1.829 -1.495
-1.339 1.232 4.930
Y B Co
1 2 2
Direct
0.000 0.000 0.000
0.351 0.351 0.701
0.649 0.649 0.299
0.250 0.750 0.500
0.750 0.250 0.500
```

=====

No. 3
A plane-wave DFT calculation with meta-GGA SCAN was carried out for a crystal of YCo4B relaxed with PBEsol.

Output
Formation energy (eV per formula unit): -1.33

Geometry as POSCAR:
```
YCo4B
1.0
-4.588 1.731 0.456
2.556 -1.288 4.008
2.418 6.281 0.478
Y Co B
2 8 2
Direct
0.000 0.000 0.500
0.000 0.000 0.000
0.333 0.667 0.000
0.667 0.333 0.000
0.000 0.500 0.714
0.500 0.500 0.714
0.500 0.000 0.714
0.000 0.500 0.286
0.500 0.500 0.286
0.500 0.000 0.286
0.667 0.333 0.500
0.333 0.667 0.500
```

=====

No. 4
A plane-wave DFT calculation with meta-GGA SCAN was carried out for a crystal of Zn2Co2B relaxed with PBEsol.

Output
Formation energy (eV per formula unit): -0.14

Geometry as POSCAR:
```
Zn2Co2B
1.0
3.948 0.000 0.000
0.000 5.208 0.000
0.000 0.000 5.208
Zn B Co
4 2 4
Direct
0.500 0.164 0.664
0.500 0.664 0.836
0.500 0.836 0.336
0.500 0.336 0.164
0.000 0.000 0.000
0.000 0.500 0.500
0.000 0.345 0.845
0.000 0.845 0.655
0.000 0.655 0.155
0.000 0.155 0.345
```

=====

No. 5
A plane-wave DFT calculation with meta-GGA SCAN was carried out for a crystal of ZrCoB2 relaxed with PBEsol.

Output
Formation energy (eV per formula unit): 0.66

Geometry as POSCAR:
```
ZrCoB2
1.0
3.894 0.000 0.000
1.947 3.372 0.000
1.947 1.124 3.179
B Co Zr
2 1 1
Direct
0.250 0.250 0.250
0.750 0.750 0.750
0.000 0.000 0.000
0.500 0.500 0.500
```

=====

No. 6
A plane-wave DFT calculation with meta-GGA SCAN was carried out for a crystal of ZrCo3B2 relaxed with PBEsol.

Output
Formation energy (eV per formula unit): -3.12

Geometry as POSCAR:
```
ZrCo3B2
1.0
-2.263 -4.978 -1.420
5.069 -1.147 -2.214
1.405 -1.604 5.231
B Co Zr
6 9 3
Direct
0.375 0.000 0.625
0.625 0.375 0.000
0.000 0.625 0.375
0.375 0.625 0.000
0.000 0.375 0.625
0.625 0.000 0.375
0.000 0.500 0.000
0.000 0.000 0.500
0.500 0.000 0.000
0.196 0.694 0.694
0.694 0.196 0.694
0.694 0.694 0.196
0.804 0.306 0.306
0.306 0.804 0.306
0.306 0.306 0.804
0.000 0.000 0.000
0.670 0.670 0.670
0.330 0.330 0.330
```

=====

No. 7
A plane-wave DFT calculation with meta-GGA SCAN was carried out for a crystal of ZrCo3B2 relaxed with PBEsol.

Output
Formation energy (eV per formula unit): -3.10

Geometry as POSCAR:
```
ZrCo3B2
1.0
3.014 0.000 0.000
0.000 4.797 0.000
0.000 -2.398 4.154
B Co Zr
2 3 1
Direct
0.000 0.667 0.333
0.000 0.333 0.667
0.500 0.500 0.500
0.500 0.000 0.500
0.500 0.500 0.000
0.000 0.000 0.000
```

=====

No. 8
A plane-wave DFT calculation with meta-GGA SCAN was carried out for a crystal of CrB2 relaxed with PBEsol.

Output
Formation energy (eV per formula unit): -1.11

Geometry as POSCAR:
```
CrB2
1.0
2.966 0.000 0.000
-1.483 2.569 0.000
0.000 0.000 2.884
Cr B
1 2
Direct
0.000 0.000 0.000
0.333 0.667 0.500
0.667 0.333 0.500
```

=====

No. 9
A plane-wave DFT calculation with meta-GGA SCAN was carried out for a crystal of CrB4 relaxed with PBEsol.

Output
Formation energy (eV per formula unit): -1.54

Geometry as POSCAR:
```
CrB4
1.0
2.828 0.000 0.000
1.414 3.605 0.008
1.414 0.526 3.566
Cr B
1 4
Direct
0.000 0.000 0.000
0.658 0.538 0.146
0.658 0.146 0.538
0.342 0.854 0.462
0.342 0.462 0.854
```

=====

No. 10
A plane-wave DFT calculation with meta-GGA SCAN was carried out for a crystal of CrB4 relaxed with PBEsol.

Output
Formation energy (eV per formula unit): -1.58

Geometry as POSCAR:
```
CrB4
1.0
2.826 0.000 0.000
0.000 4.678 0.000
0.000 0.000 5.448
Cr B
2 8
Direct
0.500 0.500 0.500
0.000 0.000 0.000
0.500 0.663 0.868
0.500 0.337 0.132
0.000 0.163 0.632
0.000 0.837 0.368
0.500 0.726 0.180
0.500 0.274 0.820
0.000 0.226 0.320
0.000 0.774 0.680
```

=====

No. 11
A plane-wave DFT calculation with meta-GGA SCAN was carried out for a crystal of Cr5B3 relaxed with PBEsol.

Output
Formation energy (eV per formula unit): -3.26

Geometry as POSCAR:
```
Cr5B3
1.0
5.380 0.000 0.000
0.000 5.380 0.000
-2.690 -2.690 4.912
Cr B
10 6
Direct
0.317 0.817 0.293
0.024 0.524 0.707
0.500 0.500 0.000
0.000 0.000 0.000
0.976 0.476 0.293
0.476 0.317 0.293
0.817 0.976 0.293
0.524 0.683 0.707
0.183 0.024 0.707
0.683 0.183 0.707
0.619 0.119 0.000
0.119 0.381 0.000
0.881 0.619 0.000
0.381 0.881 0.000
0.750 0.750 0.500
0.250 0.250 0.500
```

=====

No. 12
A plane-wave DFT calculation with meta-GGA SCAN was carried out for a crystal of Cr2B relaxed with PBEsol.

Output
Formation energy (eV per formula unit): -1.09

Geometry as POSCAR:
```
Cr2B
1.0
4.166 -0.003 0.000
-2.021 3.643 0.000
-1.073 -1.820 3.591
Cr B
4 2
Direct
0.665 0.165 0.830
0.165 0.335 0.500
0.335 0.835 0.170
0.835 0.665 0.500
0.250 0.250 0.000
0.750 0.750 0.000
```

=====

No. 13
A plane-wave DFT calculation with meta-GGA SCAN was carried out for a crystal of Cr2B3 relaxed with PBEsol.

Output
Formation energy (eV per formula unit): -2.05

Geometry as POSCAR:
```
Cr2B3
1.0
2.891 0.000 0.000
0.000 2.927 0.000
-1.445 0.000 9.017
Cr B
4 6
Direct
0.428 0.750 0.857
0.572 0.250 0.143
0.703 0.750 0.406
0.297 0.250 0.594
0.024 0.750 0.047
0.976 0.250 0.953
0.119 0.750 0.238
0.881 0.250 0.762
0.827 0.750 0.654
0.173 0.250 0.346
```

=====

No. 14
A plane-wave DFT calculation with meta-GGA SCAN was carried out for a crystal of Cr3B4 relaxed with PBEsol.

Output
Formation energy (eV per formula unit): -3.11

Geometry as POSCAR:
```
Cr3B4
1.0
-1.807 0.954 -2.029
1.222 -1.807 -1.938
-3.949 -4.173 3.598
Cr B
3 4
Direct
0.686 0.186 0.372
0.314 0.814 0.628
0.500 0.500 0.000
0.934 0.934 0.867
0.066 0.066 0.133
0.860 0.360 0.719
0.140 0.640 0.281
```

=====

No. 15
A plane-wave DFT calculation with meta-GGA SCAN was carried out for a crystal of Cr2B relaxed with PBEsol.

Output
Formation energy (eV per formula unit): -1.09

Geometry as POSCAR:
```
Cr2B
1.0
-0.500 -1.128 3.977
-2.765 -2.985 0.985
4.880 -5.572 1.213
Cr B
8 4
Direct
0.833 0.500 0.335
0.917 0.000 0.165
0.415 0.169 0.500
0.083 0.000 0.835
0.335 0.331 0.000
0.085 0.831 0.500
0.667 0.500 0.665
0.665 0.669 0.000
0.375 0.000 0.251
0.125 0.500 0.751
0.625 0.000 0.749
0.375 0.500 0.249
```

=====

No. 16
A plane-wave DFT calculation with meta-GGA SCAN was carried out for a crystal of KCrCuB2 relaxed with PBEsol.

Output
Formation energy (eV per formula unit): 7.38

Geometry as POSCAR:
```
KCrCuB2
1.0
-0.794 3.418 -1.846
-2.770 -1.819 -2.176
-3.465 1.086 3.502
Cr K B Cu
1 1 2 1
Direct
0.500 0.500 0.500
0.000 0.000 0.500
0.000 0.500 0.000
0.500 0.000 0.000
0.000 0.000 0.000
```

=====

No. 17
A plane-wave DFT calculation with meta-GGA SCAN was carried out for a crystal of Er3CrB7 relaxed with PBEsol.

Output
Formation energy (eV per formula unit): -7.89

Geometry as POSCAR:
```
Er3CrB7
1.0
-2.743 1.940 -0.301
-0.776 -4.986 -6.144
-4.720 -5.845 5.340
Er Cr B
6 2 14
Direct
0.242 0.483 0.250
0.758 0.517 0.750
0.105 0.210 0.941
0.895 0.790 0.059
0.895 0.790 0.441
0.105 0.210 0.559
0.053 0.105 0.250
0.947 0.895 0.750
0.457 0.914 0.250
0.543 0.086 0.750
0.479 0.959 0.596
0.521 0.041 0.404
0.521 0.041 0.096
0.479 0.959 0.904
0.369 0.738 0.651
0.631 0.262 0.349
0.273 0.545 0.532
0.727 0.455 0.468
0.727 0.455 0.032
0.273 0.545 0.968
0.369 0.738 0.849
0.631 0.262 0.151
```

=====

No. 18
A plane-wave DFT calculation with meta-GGA SCAN was carried out for a crystal of CrB2F relaxed with PBEsol.

Output
Raw formation energy (eV per atom): -0.023

Geometry as POSCAR:
```
CrB2F
1.0
-2.936 1.146 1.536
-1.520 -3.427 3.652
1.226 2.965 4.135
Cr B F
2 4 2
Direct
0.000 0.000 0.000
0.750 0.500 0.500
0.649 0.976 0.476
0.101 0.024 0.524
0.375 0.524 0.976
0.875 0.476 0.024
0.500 0.000 0.000
0.250 0.500 0.500
```

=====

No. 19
A plane-wave DFT calculation with meta-GGA SCAN was carried out for a crystal of Cr9FeB6 relaxed with PBEsol.

Output
Formation energy (eV per formula unit): -5.97

Geometry as POSCAR:
```
Cr9FeB6
1.0
5.328 0.000 0.000
0.000 5.328 0.000
-2.664 -2.664 4.956
Cr Fe B
9 1 6
Direct
0.479 0.975 0.296
0.817 0.321 0.296
0.975 0.817 0.296
0.321 0.479 0.296
0.521 0.025 0.704
0.183 0.679 0.704
0.025 0.183 0.704
0.679 0.521 0.704
0.500 0.500 0.000
0.000 0.000 0.000
0.116 0.624 0.000
0.884 0.376 0.000
0.624 0.884 0.000
0.376 0.116 0.000
0.749 0.749 0.498
0.251 0.251 0.502
```

=====

No. 20
A plane-wave DFT calculation with meta-GGA SCAN was carried out for a crystal of CrFeB2 relaxed with PBEsol.

Output
Formation energy (eV per formula unit): -1.63

Geometry as POSCAR:
```
CrFeB2
1.0
2.901 0.000 0.000
0.000 4.065 0.000
0.000 0.000 5.411
Cr B Fe
2 4 2
Direct
0.000 0.126 0.679
0.000 0.874 0.179
0.000 0.626 0.535
0.000 0.374 0.035
0.500 0.858 0.465
0.500 0.142 0.965
0.500 0.366 0.321
0.500 0.634 0.821
```